No. 1
A geometry-optimized TiFe2SCl structure. Source: Alexandria, functional PBE.

DOS at the Fermi energy = 1.9 states/eV per cell
formation energy from raw total energies = 2.15 kcal/mol of atoms
electronic total energy = -30.329 eV/cell

Cell and atoms, written as CIF:
```
data_TiFe2SCl
_chemical_formula_sum 'Ti1 Fe2 S1 Cl1'
_cell_length_a 4.2100
_cell_length_b 4.2100
_cell_length_c 4.8320
_cell_angle_alpha 90.00
_cell_angle_beta 90.00
_cell_angle_gamma 90.00
_symmetry_space_group_name_H-M 'P 4/m m m'
_symmetry_Int_Tables_number 123
_symmetry_space_group_name_Hall '-P 4 2'
loop_
_atom_site_label
_atom_site_fract_x
_atom_site_fract_y
_atom_site_fract_z
_atom_site_occupancy
Ti1 0.0000 0.0000 0.0000 1
Fe1 0.0000 0.5000 0.5000 1
S1 0.0000 0.0000 0.5000 1
Cl1 0.5000 0.5000 0.0000 1
```

=====

No. 2
A geometry-optimized Rb4SBr2 structure. Source: Alexandria, functional PBE.

formation energy from raw total energies = -30.20 kcal/mol of atoms
electronic total energy = -41.020 eV/cell

Cell and atoms, written as CIF:
```
data_Rb4SBr2
_chemical_formula_sum 'Rb8 S2 Br4'
_cell_length_a 6.2476
_cell_length_b 6.2476
_cell_length_c 18.0778
_cell_angle_alpha 90.00
_cell_angle_beta 90.00
_cell_angle_gamma 90.00
_symmetry_space_group_name_H-M 'I 4/m m m'
_symmetry_Int_Tables_number 139
_symmetry_space_group_name_Hall '-I 4 2'
loop_
_atom_site_label
_atom_site_fract_x
_atom_site_fract_y
_atom_site_fract_z
_atom_site_occupancy
Rb1 0.0000 0.0000 0.1728 1
Rb2 0.0000 0.5000 0.0000 1
S1 0.0000 0.0000 0.0000 1
Br1 0.0000 0.0000 0.3601 1
```